# 1
First-principles (PBE) data for a relaxed structure of Mg2CuCl, as listed in Alexandria via LeMat-Bulk.

Results
Symmetry: P2/m
ΔE_f (raw), meV per atom: -529
Magnetization, μB per formula unit: 0.00

CIF file:
```
data_Mg2CuCl
_chemical_formula_sum 'Mg2 Cu1 Cl1'
_cell_length_a 3.134
_cell_length_b 3.357
_cell_length_c 7.362
_cell_angle_alpha 89.87
_cell_angle_beta 90.00
_cell_angle_gamma 90.00
_space_group_name_H-M_alt 'P 1'
_space_group_IT_number 1
loop_
_space_group_symop_operation_xyz
'x,y,z'
loop_
_atom_site_label
_atom_site_fract_x
_atom_site_fract_y
_atom_site_fract_z
Cl1 0.500 0.250 0.250
Cu1 0.500 0.750 0.750
Mg1 0.000 0.248 0.961
Mg2 0.000 0.252 0.539
```

=====

# 2
First-principles (PBE) data for a relaxed structure of La2YTi, as listed in Alexandria via LeMat-Bulk.

Results
Symmetry: Fm-3m
Electronic total energy, Ry per atom: -0.425
Magnetization, μB per formula unit: 1.22

CIF file:
```
data_La2YTi
_chemical_formula_sum 'La2 Y1 Ti1'
_cell_length_a 5.543
_cell_length_b 5.543
_cell_length_c 5.543
_cell_angle_alpha 60.00
_cell_angle_beta 60.00
_cell_angle_gamma 60.00
_space_group_name_H-M_alt 'P 1'
_space_group_IT_number 1
loop_
_space_group_symop_operation_xyz
'x,y,z'
loop_
_atom_site_label
_atom_site_fract_x
_atom_site_fract_y
_atom_site_fract_z
Y1 0.500 0.500 0.500
Ti1 0.000 0.000 0.000
La1 0.250 0.250 0.250
La2 0.750 0.750 0.750
```

=====

# 3
First-principles (PBE) data for a relaxed structure of Na3InHg7, as listed in Alexandria via LeMat-Bulk.

Results
Symmetry: Cmcm
Electronic total energy, Ry per atom: -0.070
Magnetization, μB per formula unit: 0.00

CIF file:
```
data_Na3InHg7
_chemical_formula_sum 'Na6 In2 Hg14'
_cell_length_a 11.964
_cell_length_b 11.964
_cell_length_c 11.742
_cell_angle_alpha 90.00
_cell_angle_beta 90.00
_cell_angle_gamma 158.97
_space_group_name_H-M_alt 'P 1'
_space_group_IT_number 1
loop_
_space_group_symop_operation_xyz
'x,y,z'
loop_
_atom_site_label
_atom_site_fract_x
_atom_site_fract_y
_atom_site_fract_z
Na1 0.865 0.135 0.426
Na2 0.135 0.865 0.574
Na3 0.827 0.173 0.750
Na4 0.173 0.827 0.250
Na5 0.865 0.135 0.074
Na6 0.135 0.865 0.926
In1 0.028 0.972 0.250
In2 0.972 0.028 0.750
Hg1 0.690 0.310 0.750
Hg2 0.310 0.690 0.250
Hg3 0.458 0.542 0.382
Hg4 0.542 0.458 0.618
Hg5 0.542 0.458 0.882
Hg6 0.458 0.542 0.118
Hg7 0.598 0.402 0.387
Hg8 0.402 0.598 0.613
Hg9 0.730 0.270 0.413
Hg10 0.270 0.730 0.587
Hg11 0.270 0.730 0.913
Hg12 0.730 0.270 0.087
Hg13 0.598 0.402 0.113
Hg14 0.402 0.598 0.887
```

=====

# 4
First-principles (PBE) data for a relaxed structure of InHg15Pb4, as listed in Alexandria via LeMat-Bulk.

Results
Symmetry: P4/mmm
Electronic total energy, Ry per atom: -0.079
Magnetization, μB per formula unit: 0.00

CIF file:
```
data_InHg15Pb4
_chemical_formula_sum 'In1 Hg15 Pb4'
_cell_length_a 5.516
_cell_length_b 5.516
_cell_length_c 17.985
_cell_angle_alpha 90.00
_cell_angle_beta 90.00
_cell_angle_gamma 90.00
_space_group_name_H-M_alt 'P 1'
_space_group_IT_number 1
loop_
_space_group_symop_operation_xyz
'x,y,z'
loop_
_atom_site_label
_atom_site_fract_x
_atom_site_fract_y
_atom_site_fract_z
In1 0.000 0.000 0.000
Hg1 0.500 0.500 0.000
Hg2 0.500 0.500 0.199
Hg3 0.500 0.500 0.400
Hg4 0.500 0.500 0.600
Hg5 0.500 0.500 0.801
Hg6 0.500 0.000 0.096
Hg7 0.500 0.000 0.299
Hg8 0.500 0.000 0.500
Hg9 0.500 0.000 0.701
Hg10 0.500 0.000 0.904
Hg11 0.000 0.500 0.096
Hg12 0.000 0.500 0.299
Hg13 0.000 0.500 0.500
Hg14 0.000 0.500 0.701
Hg15 0.000 0.500 0.904
Pb1 0.000 0.000 0.200
Pb2 0.000 0.000 0.398
Pb3 0.000 0.000 0.602
Pb4 0.000 0.000 0.800
```

=====

# 5
First-principles (PBE) data for a relaxed structure of CdGePt, as listed in Alexandria via LeMat-Bulk.

Results
Symmetry: P-6m2
Electronic total energy, Ry per atom: -0.296
Magnetization, μB per formula unit: 0.00

CIF file:
```
data_CdGePt
_chemical_formula_sum 'Cd1 Ge1 Pt1'
_cell_length_a 3.690
_cell_length_b 4.263
_cell_length_c 4.263
_cell_angle_alpha 120.00
_cell_angle_beta 90.00
_cell_angle_gamma 90.00
_space_group_name_H-M_alt 'P 1'
_space_group_IT_number 1
loop_
_space_group_symop_operation_xyz
'x,y,z'
loop_
_atom_site_label
_atom_site_fract_x
_atom_site_fract_y
_atom_site_fract_z
Ge1 0.167 0.333 0.667
Pt1 0.167 0.000 0.000
Cd1 0.667 0.667 0.333
```

=====

# 6
First-principles (PBE) data for a relaxed structure of KHfSe3, as listed in Alexandria via LeMat-Bulk.

Results
Symmetry: C2/m
ΔE_f (raw), meV per atom: -1180
Magnetization, μB per formula unit: 0.00

CIF file:
```
data_KHfSe3
_chemical_formula_sum 'K2 Hf2 Se6'
_cell_length_a 3.910
_cell_length_b 8.821
_cell_length_c 9.951
_cell_angle_alpha 116.36
_cell_angle_beta 90.00
_cell_angle_gamma 102.81
_space_group_name_H-M_alt 'P 1'
_space_group_IT_number 1
loop_
_space_group_symop_operation_xyz
'x,y,z'
loop_
_atom_site_label
_atom_site_fract_x
_atom_site_fract_y
_atom_site_fract_z
K1 0.608 0.217 0.288
K2 0.392 0.783 0.712
Hf1 0.812 0.625 0.191
Hf2 0.188 0.375 0.809
Se1 0.984 0.968 0.370
Se2 0.016 0.032 0.630
Se3 0.353 0.706 0.037
Se4 0.647 0.294 0.963
Se5 0.278 0.557 0.335
Se6 0.722 0.443 0.665
```

=====

Please write out number 4 again, unchanged.
First-principles (PBE) data for a relaxed structure of InHg15Pb4, as listed in Alexandria via LeMat-Bulk.

Results
Symmetry: P4/mmm
Electronic total energy, Ry per atom: -0.079
Magnetization, μB per formula unit: 0.00

CIF file:
```
data_InHg15Pb4
_chemical_formula_sum 'In1 Hg15 Pb4'
_cell_length_a 5.516
_cell_length_b 5.516
_cell_length_c 17.985
_cell_angle_alpha 90.00
_cell_angle_beta 90.00
_cell_angle_gamma 90.00
_space_group_name_H-M_alt 'P 1'
_space_group_IT_number 1
loop_
_space_group_symop_operation_xyz
'x,y,z'
loop_
_atom_site_label
_atom_site_fract_x
_atom_site_fract_y
_atom_site_fract_z
In1 0.000 0.000 0.000
Hg1 0.500 0.500 0.000
Hg2 0.500 0.500 0.199
Hg3 0.500 0.500 0.400
Hg4 0.500 0.500 0.600
Hg5 0.500 0.500 0.801
Hg6 0.500 0.000 0.096
Hg7 0.500 0.000 0.299
Hg8 0.500 0.000 0.500
Hg9 0.500 0.000 0.701
Hg10 0.500 0.000 0.904
Hg11 0.000 0.500 0.096
Hg12 0.000 0.500 0.299
Hg13 0.000 0.500 0.500
Hg14 0.000 0.500 0.701
Hg15 0.000 0.500 0.904
Pb1 0.000 0.000 0.200
Pb2 0.000 0.000 0.398
Pb3 0.000 0.000 0.602
Pb4 0.000 0.000 0.800
```

=====

Q: magnetization of number 5 (CdGePt)?
A: 0.00 μB per formula unit

=====

Q: What is the magnetization in the second record?
A: 1.22 μB per formula unit